Model w:
Computed, not measured: an optimized crystal structure of Sc2PO at the PBE-GGA level of DFT.

## Properties
Symmetry   No. 225

Unit cell a=4.374 b=4.374 c=4.374 alpha=60.00 beta=60.00 gamma=60.00
Last column: magnetic moment on the atom in μB.
Fractional positions:
P: 0.500 0.500 0.500  -0.02
Sc: 0.750 0.750 0.750  0.30
Sc: 0.250 0.250 0.250  0.30
O: 0.000 0.000 0.000  -0.01

***

Model x:
Computed, not measured: an optimized crystal structure of Sc2PO at the PBE-GGA level of DFT.

## Properties
Symmetry   No. 160

Unit cell a=3.396 b=3.396 c=6.434 alpha=74.70 beta=74.70 gamma=60.00
Fractional positions:
Sc: 0.089 0.089 0.734
Sc: 0.248 0.248 0.257
O: 0.496 0.496 0.513
P: 0.668 0.668 0.996

***

Least stable = model w